No. 1
A plane-wave DFT calculation with PBE was carried out for a relaxed structure of CaNi2Hg.

abc: 4.258 4.258 3.762
angles: 90.00 90.00 90.00
Fractional coordinates of all 4 atoms:
Ca (0.000, 0.000, 0.000)
Ni (0.000, 0.500, 0.500)
Ni (0.500, 0.000, 0.500)
Hg (0.500, 0.500, 0.000)

Summary:
calculated volume: 68.2 Å³/cell
D(E_F): 1.300 states/eV/f.u.
space group: No. 123
E above lowest polymorph: 126 meV/atom
crystal system: tetragonal

***

No. 2
A plane-wave DFT calculation with PBE was carried out for a relaxed structure of Li2NpNi9.

abc: 8.039 8.039 4.715
angles: 90.00 90.00 90.00
Fractional coordinates of all 24 atoms:
Li (0.112, 0.388, 0.000)
Li (0.388, 0.888, 0.000)
Li (0.612, 0.112, 0.000)
Li (0.888, 0.612, 0.000)
Np (0.000, 0.000, 0.000)
Np (0.500, 0.500, 0.000)
Ni (0.000, 0.500, 0.500)
Ni (0.060, 0.208, 0.500)
Ni (0.182, 0.682, 0.243)
Ni (0.182, 0.682, 0.757)
Ni (0.208, 0.940, 0.500)
Ni (0.292, 0.440, 0.500)
Ni (0.318, 0.182, 0.243)
Ni (0.318, 0.182, 0.757)
Ni (0.440, 0.708, 0.500)
Ni (0.500, 0.000, 0.500)
Ni (0.560, 0.292, 0.500)
Ni (0.682, 0.818, 0.243)
Ni (0.682, 0.818, 0.757)
Ni (0.708, 0.560, 0.500)
Ni (0.792, 0.060, 0.500)
Ni (0.818, 0.318, 0.243)
Ni (0.818, 0.318, 0.757)
Ni (0.940, 0.792, 0.500)

Summary:
calculated volume: 304.7 Å³/cell
D(E_F): 24.408 states/eV/f.u.
space group: No. 127
E above lowest polymorph: 23 meV/atom
crystal system: tetragonal

***

No. 3
A plane-wave DFT calculation with PBE was carried out for a relaxed structure of Pm4TlPbN.

abc: 8.960 8.960 6.917
angles: 90.00 90.00 134.60
Fractional coordinates of all 14 atoms:
Pm (0.000, 0.500, 0.000)
Pm (0.000, 0.500, 0.500)
Pm (0.086, 0.914, 0.750)
Pm (0.410, 0.590, 0.750)
Pm (0.500, 0.000, 0.000)
Pm (0.500, 0.000, 0.500)
Pm (0.590, 0.410, 0.250)
Pm (0.914, 0.086, 0.250)
Tl (0.110, 0.890, 0.250)
Tl (0.890, 0.110, 0.750)
Pb (0.393, 0.607, 0.250)
Pb (0.607, 0.393, 0.750)
N (0.251, 0.749, 0.750)
N (0.749, 0.251, 0.250)

Summary:
calculated volume: 395.4 Å³/cell
E_form (uncorrected): -0.723 eV/atom
D(E_F): 2.474 states/eV/f.u.
space group: No. 63
crystal system: orthorhombic

***

Magnetic moment list, top to bottom, in μB per atom: 0.000; 0.021; 0.000